First-principles (GGA-PBE) data for a relaxed structure of LaLuSc, as listed in OQMD via LeMat-Bulk.

Cell lengths 7.4760, 7.4760, 7.4760 Å; angles 90.00, 90.00, 90.00 degrees
With the nearest neighbours (Å) after each atom.
Positions (direct):
La (0.0000, 0.0000, 0.0000)  4 Sc 3.24
La (0.0000, 0.5000, 0.5000)  4 Sc 3.24
La (0.5000, 0.0000, 0.5000)  4 Sc 3.24
La (0.5000, 0.5000, 0.0000)  4 Sc 3.24
Lu (0.0000, 0.0000, 0.5000)  4 Sc 3.24
Lu (0.0000, 0.5000, 0.0000)  4 Sc 3.24
Lu (0.5000, 0.0000, 0.0000)  4 Sc 3.24
Lu (0.5000, 0.5000, 0.5000)  4 Sc 3.24
Sc (0.2500, 0.2500, 0.2500)  4 Lu 3.24, 4 La 3.24
Sc (0.2500, 0.7500, 0.7500)  4 La 3.24, 4 Lu 3.24
Sc (0.7500, 0.2500, 0.7500)  4 La 3.24, 4 Lu 3.24
Sc (0.7500, 0.7500, 0.2500)  4 La 3.24, 4 Lu 3.24

## Properties
ΔE_f, meV per atom: 680
Relative energy among the computed polymorphs, meV/atom: 0.0
Space group: No. 216


First-principles (GGA-PBE) data for a relaxed structure of La2LuSn7, as listed in OQMD via LeMat-Bulk.

Cell lengths 13.2954, 13.2954, 4.6803 Å; angles 90.00, 90.00, 160.36 degrees
With the nearest neighbours (Å) after each atom.
Positions (direct):
La (0.1837, 0.8163, 0.0000)  10 Sn 3.34-3.61
La (0.8163, 0.1837, 0.0000)  10 Sn 3.34-3.61
Lu (0.0000, 0.0000, 0.0000)  12 Sn 3.26-3.36
Sn (0.0918, 0.9082, 0.5000)  6 Sn 3.26-3.31, 2 Lu 3.36, 2 La 3.36
Sn (0.2884, 0.7116, 0.5000)  2 Sn 3.03, 4 La 3.34
Sn (0.4097, 0.5903, 0.0000)  6 Sn 3.26-3.33, 2 Lu 3.28, 2 La 3.34
Sn (0.5000, 0.5000, 0.5000)  4 Lu 3.26, 8 Sn 3.31-3.33
Sn (0.5903, 0.4097, 0.0000)  6 Sn 3.26-3.33, 2 Lu 3.28, 2 La 3.34
Sn (0.7116, 0.2884, 0.5000)  2 Sn 3.03, 4 La 3.34
Sn (0.9082, 0.0918, 0.5000)  6 Sn 3.26-3.31, 2 Lu 3.36, 2 La 3.36

## Properties
Space group: No. 65


no.,total moment (μB per formula unit),E (hartree per atom)
1,0.76,-0.16824
2,0.01,-0.17648